[1]
Computed, not measured: BeReBr2 after structural relaxation at the PBE-GGA level of DFT.

Results
For the formation energy without anion corrections, the calculation gives 71.30 kJ/mol of atoms. The calculation puts the offset from the most stable computed form at 2.34 eV per formula unit. The density of states at the Fermi level comes out at 2.10 states/eV/f.u. The calculation puts the total energy at -4.141 eV per atom.

Lattice parameters (Å, degrees): 3.1860 3.1860 23.3501 90.00 90.00 120.00
Fractional coordinates of all 12 atoms:
Be  0.0000  0.0000  0.0000
Be  0.3333  0.6667  0.6667
Be  0.6667  0.3333  0.3333
Re  0.0000  0.0000  0.5000
Re  0.3333  0.6667  0.1667
Re  0.6667  0.3333  0.8333
Br  0.0000  0.0000  0.3944
Br  0.0000  0.0000  0.6056
Br  0.3333  0.6667  0.0611
Br  0.3333  0.6667  0.2722
Br  0.6667  0.3333  0.7278
Br  0.6667  0.3333  0.9389

[2]
Computed, not measured: HfVSe4 after structural relaxation at the PBE-GGA level of DFT.

Results
For the formation energy without anion corrections, the calculation gives -93.55 kJ/mol of atoms. The density of states at the Fermi level comes out at 2.87 states/eV/f.u. The calculation puts the total energy at -6.471 eV per atom.

Lattice parameters (Å, degrees): 6.2277 3.5835 7.2594 90.00 105.72 90.00
Fractional coordinates of all 6 atoms:
Hf  0.0000  0.0000  0.0000
V  0.5000  0.5000  0.0000
Se  0.2507  0.5000  0.2306
Se  0.2785  0.0000  0.7794
Se  0.7215  0.0000  0.2206
Se  0.7493  0.5000  0.7694

[3]
Computed, not measured: Pr3Dy2Zn3 after structural relaxation at the PBE-GGA level of DFT.

Results
Its formation energy is -0.23 eV per atom. The density of states at the Fermi level comes out at 9.34 states/eV/f.u. The calculation puts the total energy at -3.648 eV per atom.

Lattice parameters (Å, degrees): 3.6977 5.3595 21.8588 90.00 90.00 90.00
Fractional coordinates of all 16 atoms:
Pr  0.0000  0.0000  0.0000
Pr  0.0000  0.5000  0.1195
Pr  0.0000  0.5000  0.8805
Pr  0.5000  0.0000  0.3805
Pr  0.5000  0.0000  0.6195
Pr  0.5000  0.5000  0.5000
Dy  0.0000  0.0000  0.2303
Dy  0.0000  0.0000  0.7697
Dy  0.5000  0.5000  0.2697
Dy  0.5000  0.5000  0.7303
Zn  0.0000  0.0000  0.5000
Zn  0.0000  0.5000  0.3799
Zn  0.0000  0.5000  0.6201
Zn  0.5000  0.0000  0.1201
Zn  0.5000  0.0000  0.8799
Zn  0.5000  0.5000  0.0000

[4]
Computed, not measured: LiOs3I after structural relaxation at the PBE-GGA level of DFT.

Results
For the formation energy without anion corrections, the calculation gives 184.99 kJ/mol of atoms. The calculation puts the offset from the most stable computed form at 0.00 eV per formula unit. The density of states at the Fermi level comes out at 3.38 states/eV/f.u. The calculation puts the total energy at -5.513 eV per atom.

Lattice parameters (Å, degrees): 4.2617 4.2617 4.2617 90.00 90.00 90.00
Fractional coordinates of all 5 atoms:
Li  0.0000  0.0000  0.0000
Os  0.0000  0.0000  0.5000
Os  0.0000  0.5000  0.0000
Os  0.5000  0.0000  0.0000
I  0.5000  0.5000  0.5000